# HgAsCl5 (PBE, relaxed)
data_HgAsCl5
_cell_length_a 8.626
_cell_length_b 8.680
_cell_length_c 6.614
_cell_angle_alpha 90.00
_cell_angle_beta 90.00
_cell_angle_gamma 90.00
_symmetry_space_group_name_H-M 'I m m 2'
_symmetry_Int_Tables_number 44
loop_
_symmetry_equiv_pos_as_xyz
'x,y,z'
'-x,-y,z'
'-x,y,z'
'x,-y,z'
'x+1/2,y+1/2,z+1/2'
'-x+1/2,-y+1/2,z+1/2'
'-x+1/2,y+1/2,z+1/2'
'x+1/2,-y+1/2,z+1/2'
loop_
_atom_site_label
_atom_site_type_symbol
_atom_site_fract_x
_atom_site_fract_y
_atom_site_fract_z
Hg1 Hg 0.000 0.000 0.000
As1 As 0.000 0.500 0.774
Cl1 Cl 0.000 0.212 0.732
Cl2 Cl 0.000 0.500 0.103
Cl3 Cl 0.206 0.000 0.279
# Total energy = -36.34 eV per cell
# Total magnetization = 0.00 μB per cell
# E_form (uncorrected) = -0.569 eV per atom